(i)
A plane-wave DFT calculation with SCAN was carried out for a PBEsol-optimized structure of TlCrIr2.

Lattice parameters (Å, degrees): 2.802 2.802 7.732 90.00 90.00 90.00
Element x y z (fractional)
Cr (0.500, 0.500, 0.781)
Ir (0.000, 0.000, 0.980)
Ir (0.500, 0.500, 0.231)
Tl (0.000, 0.000, 0.508)



(ii)
A plane-wave DFT calculation with SCAN was carried out for a PBEsol-optimized structure of TlCrIr2.

Lattice parameters (Å, degrees): 2.809 2.809 7.672 90.00 90.00 90.00
Element x y z (fractional)
Cr (0.500, 0.500, 0.500)
Ir (0.000, 0.000, 0.711)
Ir (0.000, 0.000, 0.289)
Tl (0.500, 0.500, 0.000)



(iii)
A plane-wave DFT calculation with SCAN was carried out for a PBEsol-optimized structure of TlCrIr2.

Lattice parameters (Å, degrees): 2.802 2.802 9.257 81.30 81.30 60.00
Element x y z (fractional)
Cr (0.000, 0.000, 0.000)
Ir (0.262, 0.262, 0.214)
Ir (0.738, 0.738, 0.786)
Tl (0.500, 0.500, 0.500)



How do the energies compare? Relative to the most stable structure, in eV/atom: (i) 0.259; (ii) 0.000; (iii) 0.165.



(i)
A plane-wave DFT calculation with SCAN was carried out for a PBEsol-optimized structure of ZnCrIr.

Lattice parameters (Å, degrees): 4.029 4.029 4.029 60.00 60.00 60.00
Last column: magnetic moment on the atom in μB.
Element x y z (fractional)
Cr (0.500, 0.500, 0.500)  0.73
Ir (0.250, 0.250, 0.250)  -0.02
Zn (0.000, 0.000, 0.000)  0.00



(ii)
A plane-wave DFT calculation with SCAN was carried out for a PBEsol-optimized structure of ZnCrIr.

Lattice parameters (Å, degrees): 2.728 2.728 5.562 104.20 104.20 90.00
Element x y z (fractional)
Cr (0.006, 0.006, 0.012)
Ir (0.658, 0.658, 0.316)
Zn (0.336, 0.336, 0.673)



How do the energies compare? Relative to the most stable structure, in eV/atom: (i) 0.301; (ii) 0.000.



(i)
A plane-wave DFT calculation with SCAN was carried out for a PBEsol-optimized structure of Zr2CrIr.

Lattice parameters (Å, degrees): 3.047 4.308 5.383 90.00 90.00 90.00
Last column: magnetic moment on the atom in μB.
Element x y z (fractional)
Cr (0.000, 0.000, 0.457)  3.02
Ir (0.500, 0.500, 0.789)  0.02
Zr (0.000, 0.000, 0.955)  -0.27
Zr (0.500, 0.500, 0.299)  -0.28



(ii)
A plane-wave DFT calculation with SCAN was carried out for a PBEsol-optimized structure of Zr2CrIr.

Lattice parameters (Å, degrees): 3.814 3.814 5.442 110.51 110.51 90.00
Last column: magnetic moment on the atom in μB.
Element x y z (fractional)
Cr (0.500, 0.500, 0.000)  2.94
Ir (0.250, 0.750, 0.500)  0.02
Zr (0.000, 0.000, 0.000)  -0.39
Zr (0.750, 0.250, 0.500)  -0.18



How do the energies compare? Relative to the most stable structure, in eV/atom: (i) 0.144; (ii) 0.000.



(i)
A plane-wave DFT calculation with SCAN was carried out for a PBEsol-optimized structure of ZrCrIr.

Lattice parameters (Å, degrees): 4.313 4.313 4.313 60.00 60.00 60.00
Last column: magnetic moment on the atom in μB.
Element x y z (fractional)
Cr (0.000, 0.000, 0.000)  3.54
Ir (0.500, 0.500, 0.500)  0.09
Zr (0.250, 0.250, 0.250)  -0.01



(ii)
A plane-wave DFT calculation with SCAN was carried out for a PBEsol-optimized structure of ZrCrIr.

Lattice parameters (Å, degrees): 4.329 4.329 4.329 60.00 60.00 60.00
Last column: magnetic moment on the atom in μB.
Element x y z (fractional)
Cr (0.500, 0.500, 0.500)  3.36
Ir (0.250, 0.250, 0.250)  0.09
Zr (0.000, 0.000, 0.000)  0.01



How do the energies compare? Relative to the most stable structure, in eV/atom: (i) 0.419; (ii) 0.000.



(i)
A plane-wave DFT calculation with SCAN was carried out for a PBEsol-optimized structure of KCr.

Lattice parameters (Å, degrees): 3.523 3.523 12.053 90.00 90.00 120.00
Last column: magnetic moment on the atom in μB.
Element x y z (fractional)
Cr (0.333, 0.667, 0.088)  4.17
Cr (0.667, 0.333, 0.912)  4.17
K (0.333, 0.667, 0.671)  0.02
K (0.667, 0.333, 0.329)  0.02



(ii)
A plane-wave DFT calculation with SCAN was carried out for a PBEsol-optimized structure of KCr.

Lattice parameters (Å, degrees): 3.248 6.495 6.847 105.90 103.72 90.00
Last column: magnetic moment on the atom in μB.
Element x y z (fractional)
Cr (0.169, 0.354, 0.337)  4.24
Cr (0.831, 0.646, 0.663)  4.24
K (0.597, 0.811, 0.195)  0.03
K (0.403, 0.189, 0.805)  0.03



(iii)
A plane-wave DFT calculation with SCAN was carried out for a PBEsol-optimized structure of KCr.

Lattice parameters (Å, degrees): 3.409 3.409 5.509 90.00 90.00 90.00
Last column: magnetic moment on the atom in μB.
Element x y z (fractional)
Cr (0.000, 0.000, 0.000)  4.25
K (0.500, 0.500, 0.500)  0.02



How do the energies compare? Relative to the most stable structure, in eV/atom: (i) 0.171; (ii) 0.000; (iii) 0.121.



(i)
A plane-wave DFT calculation with SCAN was carried out for a PBEsol-optimized structure of K2Cr.

Lattice parameters (Å, degrees): 4.036 8.164 8.956 104.93 103.02 90.00
Last column: magnetic moment on the atom in μB.
Element x y z (fractional)
Cr (0.497, 0.680, 0.994)  4.35
Cr (0.503, 0.320, 0.006)  4.35
K (0.114, 0.063, 0.228)  0.01
K (0.846, 0.405, 0.693)  0.01
K (0.154, 0.595, 0.307)  0.01
K (0.886, 0.937, 0.772)  0.01



(ii)
A plane-wave DFT calculation with SCAN was carried out for a PBEsol-optimized structure of K2Cr.

Lattice parameters (Å, degrees): 3.530 8.824 8.984 90.00 90.00 90.00
Last column: magnetic moment on the atom in μB.
Element x y z (fractional)
Cr (0.000, 0.000, 0.000)  4.34
Cr (0.500, 0.500, 0.500)  4.34
K (0.000, 0.191, 0.672)  0.01
K (0.000, 0.809, 0.328)  0.01
K (0.500, 0.691, 0.828)  0.01
K (0.500, 0.309, 0.172)  0.01



How do the energies compare? Relative to the most stable structure, in eV/atom: (i) 0.000; (ii) 0.075.